P) Y3Sc3CuTe2 (PBE, optimized geometry); total magnetic moment = 0.06 Bohr magnetons per cell
1.0
8.000 0.000 0.000
-4.000 6.928 0.000
0.000 0.000 3.974
Y Sc Cu Te
3 3 1 2
Direct
0.000 0.604 0.000
0.396 0.396 0.000
0.604 0.000 0.000
0.000 0.236 0.500
0.236 0.000 0.500
0.764 0.764 0.500
0.000 0.000 0.000
0.333 0.667 0.500
0.667 0.333 0.500

Q) Y3Sc3CuTe2 (PBE, optimized geometry); total magnetic moment = 0.03 Bohr magnetons per cell
1.0
8.209 0.000 0.000
-4.105 7.110 0.000
0.000 0.000 3.806
Y Sc Cu Te
3 3 1 2
Direct
0.000 0.251 0.000
0.251 0.000 0.000
0.749 0.749 0.000
0.000 0.597 0.500
0.403 0.403 0.500
0.597 0.000 0.500
0.000 0.000 0.500
0.333 0.667 0.000
0.667 0.333 0.000

Which one is most stable, and which one is least stable? P) is the most stable of them, while Q) is the least stable.

P) Sc3Zn2Cu3 (PBE, optimized geometry); total magnetic moment = 0.00 Bohr magnetons per cell
1.0
5.652 0.000 0.000
0.000 4.504 0.000
-2.497 0.000 5.150
Sc Zn Cu
3 2 3
Direct
0.000 0.000 0.000
0.210 0.500 0.763
0.553 0.000 0.471
0.215 0.500 0.287
0.512 0.000 0.965
0.044 0.000 0.480
0.707 0.500 0.796
0.732 0.500 0.263

Q) Sc3Zn2Cu3 (PBE, optimized geometry); total magnetic moment = 0.16 Bohr magnetons per cell
1.0
5.923 0.000 0.000
-2.962 5.130 0.000
0.000 0.000 4.421
Sc Zn Cu
3 2 3
Direct
0.002 0.501 0.000
0.499 0.501 0.000
0.499 0.998 0.000
0.000 0.000 0.000
0.333 0.667 0.500
0.294 0.147 0.500
0.853 0.147 0.500
0.853 0.706 0.500

Which one is most stable, and which one is least stable? P) is the most stable of them, while Q) is the least stable.